VASP calculation (GGA-PBE) on crystalline Ca2HgBi at its relaxed geometry.

Unit cell a=7.2351 b=7.2351 c=7.2351 alpha=150.57 beta=126.94 gamma=61.84
With the nearest neighbours (Å) after each atom.
Atoms (fractional coordinates):
Ca 0.2432 0.2432 0.0000  1 Hg 3.02, 1 Bi 3.19
Ca 0.7568 0.7568 0.0000  1 Hg 3.02, 1 Bi 3.19
Hg 0.0000 0.0000 0.0000  2 Ca 3.02
Bi 0.5000 0.5000 0.0000  2 Ca 3.19

Properties
Total magnetization (μB per formula unit): 0.00

=====

VASP calculation (GGA-PBE) on crystalline CaHgBi at its relaxed geometry.

Unit cell a=5.2375 b=5.2375 c=3.7493 alpha=90.00 beta=90.00 gamma=120.00
With the nearest neighbours (Å) after each atom.
Atoms (fractional coordinates):
Ca 0.0000 0.0000 0.0000  3 Hg 3.18, 3 Bi 3.42
Hg 0.3333 0.6667 0.2648  3 Ca 3.18, 3 Bi 3.23
Bi 0.6667 0.3333 0.5711  3 Hg 3.23, 3 Ca 3.42

Properties
Total magnetization (μB per formula unit): 0.00

=====

VASP calculation (GGA-PBE) on crystalline Ca2Hg5Bi2 at its relaxed geometry.

Unit cell a=10.3612 b=10.3612 c=10.3612 alpha=71.33 beta=146.94 gamma=118.81
With the nearest neighbours (Å) after each atom.
Atoms (fractional coordinates):
Ca 0.2225 0.1376 0.3601  7 Hg 3.18-3.44, 3 Bi 3.44-3.52
Ca 0.2225 0.3624 0.5849  7 Hg 3.18-3.44, 3 Bi 3.44-3.52
Ca 0.7775 0.6376 0.4151  7 Hg 3.18-3.44, 3 Bi 3.44-3.52
Ca 0.7775 0.8624 0.6399  7 Hg 3.18-3.44, 3 Bi 3.44-3.52
Hg 0.1572 0.9987 0.6585  2 Bi 3.25-3.40, 4 Ca 3.32-3.44, 2 Hg 3.36
Hg 0.2485 0.5233 0.8321  3 Hg 3.06-3.32, 3 Bi 3.13-3.33, 3 Ca 3.25-3.29
Hg 0.2485 0.9164 0.2252  3 Hg 3.06-3.32, 3 Bi 3.13-3.33, 3 Ca 3.25-3.29
Hg 0.3402 0.4987 0.3415  2 Bi 3.25-3.40, 4 Ca 3.32-3.44, 2 Hg 3.36
Hg 0.6870 0.1074 0.3115  3 Hg 3.06-3.36, 2 Ca 3.18-3.21, 1 Bi 3.33
Hg 0.6870 0.8756 0.0796  3 Hg 3.06-3.36, 2 Ca 3.18-3.21, 1 Bi 3.33
Hg 0.6912 0.0233 0.7748  3 Hg 3.06-3.32, 3 Bi 3.13-3.33, 3 Ca 3.25-3.29
Hg 0.6912 0.4164 0.1679  3 Hg 3.06-3.32, 3 Bi 3.13-3.33, 3 Ca 3.25-3.29
Hg 0.7960 0.3756 0.6885  3 Hg 3.06-3.36, 2 Ca 3.18-3.21, 1 Bi 3.33
Hg 0.7960 0.6074 0.9204  3 Hg 3.06-3.36, 2 Ca 3.18-3.21, 1 Bi 3.33
Bi 0.2071 0.2071 0.0000  6 Hg 3.13-3.48, 2 Ca 3.44
Bi 0.2071 0.7071 0.5000  6 Hg 3.13-3.48, 2 Ca 3.44
Bi 0.2834 0.7529 0.0305  8 Hg 3.25-3.63, 4 Ca 3.49-3.52
Bi 0.7224 0.2529 0.9695  8 Hg 3.25-3.63, 4 Ca 3.49-3.52

Properties
Total magnetization (μB per formula unit): 0.00

=====

VASP calculation (GGA-PBE) on crystalline CaHg2Bi2 at its relaxed geometry.

Unit cell a=8.3681 b=8.3681 c=4.3561 alpha=90.00 beta=90.00 gamma=90.00
With the nearest neighbours (Å) after each atom.
Atoms (fractional coordinates):
Ca 0.0000 0.0000 0.0000  4 Bi 3.25
Ca 0.5000 0.5000 0.0000  4 Bi 3.25
Hg 0.1638 0.3362 0.5000  6 Bi 3.21-3.33
Hg 0.3362 0.8362 0.5000  6 Bi 3.21-3.33
Hg 0.6638 0.1638 0.5000  6 Bi 3.21-3.33
Hg 0.8362 0.6638 0.5000  6 Bi 3.21-3.33
Bi 0.1365 0.6365 0.0000  6 Hg 3.21-3.33, 1 Bi 3.23, 2 Ca 3.25
Bi 0.3635 0.1365 0.0000  6 Hg 3.21-3.33, 1 Bi 3.23, 2 Ca 3.25
Bi 0.6365 0.8635 0.0000  6 Hg 3.21-3.33, 1 Bi 3.23, 2 Ca 3.25
Bi 0.8635 0.3635 0.0000  6 Hg 3.21-3.33, 1 Bi 3.23, 2 Ca 3.25

Properties
Total magnetization (μB per formula unit): 0.00

=====

VASP calculation (GGA-PBE) on crystalline Ca2Hg6Bi at its relaxed geometry.

Unit cell a=8.7431 b=8.7431 c=3.6034 alpha=90.10 beta=90.10 gamma=60.01
With the nearest neighbours (Å) after each atom.
Atoms (fractional coordinates):
Ca 0.1667 0.1667 0.0003  12 Hg 3.42-3.43, 2 Ca 3.60
Ca 0.8333 0.8333 0.9997  12 Hg 3.42-3.43, 2 Ca 3.60
Hg 0.1663 0.5000 0.5008  3 Hg 2.91-2.92
Hg 0.1663 0.8337 0.5000  3 Hg 2.91-2.92
Hg 0.5000 0.1663 0.5008  3 Hg 2.91-2.92
Hg 0.5000 0.8337 0.4992  3 Hg 2.91-2.92
Hg 0.8337 0.1663 0.5000  3 Hg 2.91-2.92
Hg 0.8337 0.5000 0.4992  3 Hg 2.91-2.92
Bi 0.5000 0.5000 0.0000  12 Hg 3.42-3.43, 2 Bi 3.60

Properties
Total magnetization (μB per formula unit): 0.00

=====

VASP calculation (GGA-PBE) on crystalline CaHgBi at its relaxed geometry.

Unit cell a=5.1522 b=5.1522 c=5.1522 alpha=60.00 beta=60.00 gamma=60.00
With the nearest neighbours (Å) after each atom.
Atoms (fractional coordinates):
Ca 0.0000 0.0000 0.0000  4 Hg 3.16
Hg 0.2500 0.2500 0.2500  4 Bi 3.16, 4 Ca 3.16
Bi 0.5000 0.5000 0.5000  4 Hg 3.16

Properties
Total magnetization (μB per formula unit): 0.00

=====

Table of DFT total energy (eV per atom), in record order: -2.007, -2.514, -1.761, -2.226, -1.362, -2.481
Table of formation energy from the elements (eV/atom), in record order: 0.04, -0.45, -0.29, -0.15, -0.28, -0.42